Compound: Mn2Mo2Ir
Source: Alexandria via LeMat-Bulk
Functional: PBE
Structure: relaxed

Unit cell a=6.8609 b=6.8609 c=2.9331 alpha=90.00 beta=90.00 gamma=90.00
Closest atoms and distances in Å follow each position.
Atoms (fractional coordinates):
Mo 0.1761 0.6761 0.5000  6 Mn 2.40-2.57
Mo 0.6761 0.8239 0.5000  6 Mn 2.40-2.57
Mo 0.3239 0.1761 0.5000  6 Mn 2.40-2.57
Mo 0.8239 0.3239 0.5000  6 Mn 2.40-2.57
Mn 0.8714 0.6286 0.0000  6 Mo 2.40-2.57, 1 Mn 2.50
Mn 0.3714 0.8714 0.0000  6 Mo 2.40-2.57, 1 Mn 2.50
Mn 0.1286 0.3714 0.0000  6 Mo 2.40-2.57, 1 Mn 2.50
Mn 0.6286 0.1286 0.0000  6 Mo 2.40-2.57, 1 Mn 2.50
Ir 0.0000 0.0000 0.0000  4 Mn 2.70, 8 Mo 2.92, 2 Ir 2.93
Ir 0.5000 0.5000 0.0000  4 Mn 2.70, 8 Mo 2.92, 2 Ir 2.93

* total magnetization: 2.0 μB per formula unit
* D(E_F): 9.94 states/eV per cell
* VASP energy: -96.63 eV per cell


Compound: MnMo2IrN
Source: Alexandria via LeMat-Bulk
Functional: PBE
Structure: relaxed

Unit cell a=4.0842 b=4.0842 c=3.8853 alpha=90.00 beta=90.00 gamma=90.00
Closest atoms and distances in Å follow each position.
Atoms (fractional coordinates):
Mo 0.5000 0.0000 0.0000  2 N 2.04
Mo 0.0000 0.5000 0.0000  2 N 2.04
Ir 0.5000 0.5000 0.5000  8 Mo 2.82, 4 Mn 2.89
N 0.0000 0.0000 0.0000  2 Mn 1.94, 4 Mo 2.04
Mn 0.0000 0.0000 0.5000  2 N 1.94

* total magnetization: 1.4 μB per formula unit
* D(E_F): 4.72 states/eV per cell
* VASP energy: -49.05 eV per cell
* ΔE_f (raw): -0.21 eV per atom


Compound: MnMoIr2Os
Source: Alexandria via LeMat-Bulk
Functional: PBE
Structure: relaxed

Unit cell a=4.4378 b=4.4378 c=4.3862 alpha=90.00 beta=90.00 gamma=90.00
Closest atoms and distances in Å follow each position.
Atoms (fractional coordinates):
Mo 0.5000 0.5000 0.5000  8 Ir 3.12, 4 Os 3.14
Mn 0.0000 0.0000 0.0000  2 Os 2.19, 4 Ir 2.22
Ir 0.0000 0.5000 0.0000  2 Mn 2.22
Ir 0.5000 0.0000 0.0000  2 Mn 2.22
Os 0.0000 0.0000 0.5000  2 Mn 2.19

* total magnetization: 3.0 μB per formula unit
* D(E_F): 6.81 states/eV per cell
* VASP energy: -41.24 eV per cell


Compound: MnMo2IrPb
Source: Alexandria via LeMat-Bulk
Functional: PBE
Structure: relaxed

Unit cell a=5.0522 b=5.0522 c=4.9510 alpha=90.00 beta=90.00 gamma=90.00
Closest atoms and distances in Å follow each position.
Atoms (fractional coordinates):
Mo 0.0000 0.5000 0.0000  2 Pb 2.53
Mo 0.5000 0.0000 0.0000  2 Pb 2.53
Ir 0.0000 0.0000 0.5000  2 Pb 2.48
Pb 0.0000 0.0000 0.0000  2 Ir 2.48, 4 Mo 2.53
Mn 0.5000 0.5000 0.5000  8 Mo 3.54, 4 Ir 3.57

* total magnetization: 0.1 μB per formula unit
* D(E_F): 8.16 states/eV per cell
* VASP energy: -28.31 eV per cell


Compound: MnMoIrRu
Source: Alexandria via LeMat-Bulk
Functional: PBE
Structure: relaxed

Unit cell a=4.3636 b=4.3636 c=4.3636 alpha=60.00 beta=60.00 gamma=60.00
Closest atoms and distances in Å follow each position.
Atoms (fractional coordinates):
Ru 0.2500 0.2500 0.2500  4 Mn 2.67, 4 Mo 2.67
Mo 0.0000 0.0000 0.0000  4 Ru 2.67, 4 Ir 2.67
Ir 0.7500 0.7500 0.7500  4 Mn 2.67, 4 Mo 2.67
Mn 0.5000 0.5000 0.5000  4 Ru 2.67, 4 Ir 2.67

* total magnetization: 4.3 μB per formula unit
* D(E_F): 3.39 states/eV per cell
* VASP energy: -37.96 eV per cell


Compound: MnSiMoIr
Source: Alexandria via LeMat-Bulk
Functional: PBE
Structure: relaxed

Unit cell a=4.2494 b=4.2494 c=4.2494 alpha=60.00 beta=60.00 gamma=60.00
Closest atoms and distances in Å follow each position.
Atoms (fractional coordinates):
Ir 0.5000 0.5000 0.5000  4 Mn 2.60, 4 Si 2.60
Si 0.7500 0.7500 0.7500  4 Mo 2.60, 4 Ir 2.60
Mn 0.2500 0.2500 0.2500  4 Mo 2.60, 4 Ir 2.60
Mo 0.0000 0.0000 0.0000  4 Mn 2.60, 4 Si 2.60

* total magnetization: 2.1 μB per formula unit
* D(E_F): 1.23 states/eV per cell
* VASP energy: -35.79 eV per cell
* ΔE_f (raw): -0.38 eV per atom


Look up the total magnetization of the first one.
2.0 μB per formula unit


VASP energy of number 6 (MnSiMoIr)?
-35.79 eV per cell